Entry 1:
A geometry-optimized TbDyZn structure. Source: OQMD via LeMat-Bulk, functional PBE.

a = 6.985 Å, b = 6.985 Å, c = 6.985 Å
α = 90.00°, β = 90.00°, γ = 90.00°
Space group F-43m (No. 216)
Inequivalent atoms, fractional coordinates:
Tb 0.000 0.000 0.000
Dy 0.000 0.000 0.500
Zn 0.250 0.250 0.750

## Properties
* magnetic moment: 0.00 μB per formula unit
* ΔH_f (0 K): 0.022 eV/atom
* raw total energy: -3.48 eV per atom


Entry 2:
A geometry-optimized TbDyZn4 structure. Source: OQMD via LeMat-Bulk, functional PBE.

a = 4.470 Å, b = 7.096 Å, c = 7.546 Å
α = 90.00°, β = 90.00°, γ = 90.00°
Space group Imm2 (No. 44)
Inequivalent atoms, fractional coordinates:
Tb 0.000 0.000 0.000
Dy 0.000 0.500 0.060
Zn 0.000 0.206 0.365
Zn 0.000 0.294 0.696

## Properties
* magnetic moment: 0.01 μB per formula unit
* ΔH_f (0 K): -0.392 eV/atom
* raw total energy: -2.77 eV per atom


Entry 3:
A geometry-optimized DyTcTe structure. Source: OQMD via LeMat-Bulk, functional PBE.

a = 6.789 Å, b = 6.789 Å, c = 6.789 Å
α = 90.00°, β = 90.00°, γ = 90.00°
Space group F-43m (No. 216)
Inequivalent atoms, fractional coordinates:
Dy 0.000 0.000 0.000
Tc 0.250 0.250 0.750
Te 0.250 0.250 0.250

## Properties
* magnetic moment: 0.12 μB per formula unit
* relative energy among the computed polymorphs: 0.450 eV per atom
* raw total energy: -5.49 eV per atom


Entry 4:
A geometry-optimized Dy6TcTe2 structure. Source: OQMD via LeMat-Bulk, functional PBE.

a = 8.3094 Å, b = 8.3094 Å, c = 4.0746 Å
α = 90.00°, β = 90.00°, γ = 120.00°
Space group P-62m (No. 189)
Inequivalent atoms, fractional coordinates:
Dy 0.0000 0.3930 0.0000
Dy 0.0000 0.7616 0.5000
Tc 0.0000 0.0000 0.0000
Te 0.3333 0.6667 0.5000

## Properties
* magnetic moment: 0.02 μB per formula unit
* raw total energy: -5.58 eV per atom


Entry 5:
A geometry-optimized DyTcTe structure. Source: OQMD via LeMat-Bulk, functional PBE.

a = 6.659 Å, b = 6.659 Å, c = 6.659 Å
α = 90.00°, β = 90.00°, γ = 90.00°
Space group F-43m (No. 216)
Inequivalent atoms, fractional coordinates:
Dy 0.000 0.000 0.000
Tc 0.000 0.000 0.500
Te 0.250 0.250 0.250

## Properties
* magnetic moment: 1.75 μB per formula unit
* relative energy among the computed polymorphs: 0.000 eV per atom
* raw total energy: -5.94 eV per atom


Entry 6:
A geometry-optimized Dy4Th2Tc structure. Source: OQMD via LeMat-Bulk, functional PBE.

a = 7.918 Å, b = 7.918 Å, c = 7.031 Å
α = 90.00°, β = 90.00°, γ = 90.00°
Space group I4/mmm (No. 139)
Inequivalent atoms, fractional coordinates:
Dy 0.248 0.248 0.000
Th 0.000 0.500 0.250
Tc 0.000 0.000 0.500

## Properties
* magnetic moment: 0.35 μB per formula unit
* ΔH_f (0 K): 0.613 eV/atom
* raw total energy: -5.61 eV per atom


Entry 7:
A geometry-optimized DyTlTc structure. Source: OQMD via LeMat-Bulk, functional PBE.

a = 6.696 Å, b = 6.696 Å, c = 6.696 Å
α = 90.00°, β = 90.00°, γ = 90.00°
Space group F-43m (No. 216)
Inequivalent atoms, fractional coordinates:
Dy 0.000 0.000 0.000
Tl 0.250 0.250 0.250
Tc 0.000 0.000 0.500

## Properties
* magnetic moment: 0.32 μB per formula unit
* relative energy among the computed polymorphs: 0.000 eV per atom
* raw total energy: -5.13 eV per atom


Entry 8:
A geometry-optimized DyTlTc structure. Source: OQMD via LeMat-Bulk, functional PBE.

a = 6.798 Å, b = 6.798 Å, c = 6.798 Å
α = 90.00°, β = 90.00°, γ = 90.00°
Space group F-43m (No. 216)
Inequivalent atoms, fractional coordinates:
Dy 0.000 0.000 0.000
Tl 0.250 0.250 0.250
Tc 0.250 0.250 0.750

## Properties
* magnetic moment: 0.98 μB per formula unit
* relative energy among the computed polymorphs: 0.352 eV per atom
* raw total energy: -4.78 eV per atom


Entry 9:
A geometry-optimized DyZnTc structure. Source: OQMD via LeMat-Bulk, functional PBE.

a = 6.289 Å, b = 6.289 Å, c = 6.289 Å
α = 90.00°, β = 90.00°, γ = 90.00°
Space group F-43m (No. 216)
Inequivalent atoms, fractional coordinates:
Dy 0.000 0.000 0.000
Zn 0.250 0.250 0.250
Tc 0.000 0.000 0.500

## Properties
* magnetic moment: 0.50 μB per formula unit
* ΔH_f (0 K): 0.381 eV/atom
* raw total energy: -5.03 eV per atom


Entry 10:
A geometry-optimized Dy5Te6 structure. Source: OQMD via LeMat-Bulk, functional PBE.

a = 7.501 Å, b = 12.932 Å, c = 7.478 Å
α = 90.00°, β = 109.56°, γ = 90.00°
Space group C2/m (No. 12)
Inequivalent atoms, fractional coordinates:
Dy 0.000 0.000 0.000
Dy 0.000 0.164 0.500
Dy 0.000 0.330 0.000
Te 0.241 0.339 0.742
Te 0.241 0.500 0.254

## Properties
* magnetic moment: 0.01 μB per formula unit
* raw total energy: -5.20 eV per atom


Entry 11:
A geometry-optimized Dy2Te structure. Source: OQMD via LeMat-Bulk, functional PBE.

a = 8.944 Å, b = 8.944 Å, c = 8.944 Å
α = 90.00°, β = 90.00°, γ = 90.00°
Space group Fd-3m (No. 227, origin choice 2)
Inequivalent atoms, fractional coordinates:
Dy 0.000 0.000 0.000
Te 0.125 0.125 0.625

## Properties
* magnetic moment: 0.02 μB per formula unit
* raw total energy: -4.25 eV per atom


Entry 12:
A geometry-optimized Dy3Te2 structure. Source: OQMD via LeMat-Bulk, functional PBE.

a = 11.860 Å, b = 4.106 Å, c = 11.674 Å
α = 90.00°, β = 90.00°, γ = 90.00°
Space group Pnma (No. 62)
Inequivalent atoms, fractional coordinates:
Dy 0.046 0.250 0.124
Dy 0.122 0.750 0.566
Dy 0.210 0.250 0.792
Te 0.032 0.750 0.320
Te 0.194 0.750 0.996

## Properties
* magnetic moment: 0.00 μB per formula unit
* raw total energy: -5.07 eV per atom


Please write out number 4 again, unchanged.
A geometry-optimized Dy6TcTe2 structure. Source: OQMD via LeMat-Bulk, functional PBE.

a = 8.3094 Å, b = 8.3094 Å, c = 4.0746 Å
α = 90.00°, β = 90.00°, γ = 120.00°
Space group P-62m (No. 189)
Inequivalent atoms, fractional coordinates:
Dy 0.0000 0.3930 0.0000
Dy 0.0000 0.7616 0.5000
Tc 0.0000 0.0000 0.0000
Te 0.3333 0.6667 0.5000

## Properties
* magnetic moment: 0.02 μB per formula unit
* raw total energy: -5.58 eV per atom


Question: What is the formula in the sixth record?
Answer: Dy4Th2Tc


Question: What is the raw total energy in the fourth record?
Answer: -5.58 eV per atom


Question: Which value of magnetic moment does entry 11 give?
Answer: 0.02 μB per formula unit